The following is a DFT calculation (GGA-PBE) of an optimized crystal structure of Mg2GaSi.

Calculated values
ΔE_f (raw), meV per atom: 181.4
Final energy, eV/atom: -2.73

Lattice parameters (Å, degrees): 4.3107 4.3107 9.5001 76.89 76.89 90.00
Closest atoms and distances in Å follow each position.
Fractional positions:
Ga1 0.0000 0.0000 0.0000  4 Mg 2.72
Ga2 0.7500 0.2500 0.5000  4 Mg 2.72
Si1 0.2500 0.7500 0.5000  4 Mg 2.71
Si2 0.5000 0.5000 0.0000  4 Mg 2.71
Mg1 0.1267 0.6250 0.2500  2 Si 2.71, 2 Ga 2.72, 2 Mg 3.04
Mg2 0.6233 0.1250 0.2500  2 Si 2.71, 2 Ga 2.72, 2 Mg 3.04
Mg3 0.3750 0.3767 0.7500  2 Si 2.71, 2 Ga 2.72, 2 Mg 3.04
Mg4 0.8750 0.8733 0.7500  2 Si 2.71, 2 Ga 2.72, 2 Mg 3.04


The following is a DFT calculation (GGA-PBE) of an optimized crystal structure of CaSm14Tm.

Calculated values
Final energy, eV/atom: -4.49
E_form, eV per atom: 0.041

Lattice parameters (Å, degrees): 7.3680 7.3680 11.6474 90.00 90.00 119.88
Closest atoms and distances in Å follow each position.
Fractional positions:
Sm1 0.3284 0.1635 0.2507  10 Sm 3.59-3.75, 1 Tm 3.60, 1 Ca 3.63
Sm2 0.8365 0.6716 0.2507  10 Sm 3.59-3.75, 1 Tm 3.60, 1 Ca 3.63
Sm3 0.3284 0.1635 0.7493  10 Sm 3.59-3.75, 1 Tm 3.60, 1 Ca 3.63
Sm4 0.8363 0.1637 0.2527  11 Sm 3.57-3.74, 1 Ca 3.66
Sm5 0.3335 0.6665 0.7536  11 Sm 3.56-3.69, 1 Tm 3.57
Sm6 0.8365 0.6716 0.7493  10 Sm 3.59-3.75, 1 Tm 3.60, 1 Ca 3.63
Sm7 0.1656 0.3356 0.0000  8 Sm 3.56-3.70, 2 Tm 3.66-3.71, 2 Ca 3.67-3.69
Sm8 0.6672 0.3328 0.5000  12 Sm 3.60-3.69
Sm9 0.1670 0.3337 0.5000  12 Sm 3.57-3.70
Sm10 0.8363 0.1637 0.7472  11 Sm 3.57-3.74, 1 Ca 3.66
Sm11 0.6663 0.8330 0.5000  12 Sm 3.57-3.70
Sm12 0.6644 0.8344 0.0000  8 Sm 3.56-3.70, 2 Tm 3.66-3.71, 2 Ca 3.67-3.69
Sm13 0.3335 0.6665 0.2464  11 Sm 3.56-3.69, 1 Tm 3.57
Sm14 0.1673 0.8327 0.5000  12 Sm 3.59-3.69
Ca1 0.6661 0.3339 0.0000  10 Sm 3.63-3.69, 2 Tm 3.69
Tm1 0.1667 0.8333 0.0000  10 Sm 3.57-3.71, 2 Ca 3.69


The following is a DFT calculation (GGA-PBE) of an optimized crystal structure of TaNiSbTe2.

Calculated values
ΔE_f (raw), meV per atom: 814.4
Final energy, eV/atom: -4.79
Polymorph energy (0 for the lowest one), meV/atom: 0

Lattice parameters (Å, degrees): 5.0261 5.0261 4.7945 90.00 90.00 90.00
Closest atoms and distances in Å follow each position.
Fractional positions:
Ta1 0.5000 0.5000 0.5000  8 Te 3.47, 4 Sb 3.55
Ni1 0.0000 0.0000 0.0000  2 Sb 2.40, 4 Te 2.51
Te1 0.5000 0.0000 0.0000  2 Ni 2.51
Te2 0.0000 0.5000 0.0000  2 Ni 2.51
Sb1 0.0000 0.0000 0.5000  2 Ni 2.40


The following is a DFT calculation (GGA-PBE) of an optimized crystal structure of KMg4Pb5.

Calculated values
Final energy, eV/atom: -2.68
E_form, eV per atom: -0.082

Lattice parameters (Å, degrees): 3.8276 3.8276 19.3683 90.00 90.00 90.00
Closest atoms and distances in Å follow each position.
Fractional positions:
Mg1 0.0000 0.0000 0.2209  8 Pb 3.17-3.26
Mg2 0.0000 0.0000 0.4079  8 Pb 3.24-3.25, 2 Mg 3.57-3.62
Mg3 0.0000 0.0000 0.7791  8 Pb 3.17-3.26
Mg4 0.0000 0.0000 0.5921  8 Pb 3.24-3.25, 2 Mg 3.57-3.62
Pb1 0.5000 0.5000 0.5000  8 Mg 3.24, 2 Pb 3.59
Pb2 0.5000 0.5000 0.6854  8 Mg 3.25-3.26, 2 Pb 3.46-3.59
Pb3 0.5000 0.5000 0.3146  8 Mg 3.25-3.26, 2 Pb 3.46-3.59
Pb4 0.5000 0.5000 0.8638  4 Mg 3.17, 1 Pb 3.46
Pb5 0.5000 0.5000 0.1362  4 Mg 3.17, 1 Pb 3.46
K1 0.0000 0.0000 0.0000  8 Pb 3.78, 4 K 3.83


The following is a DFT calculation (GGA-PBE) of an optimized crystal structure of Sm2ErZrAs4.

Calculated values
Final energy, eV/atom: -6.57
E_form, eV per atom: -1.423

Lattice parameters (Å, degrees): 4.0812 7.0695 7.0795 109.30 90.00 90.00
Closest atoms and distances in Å follow each position.
Fractional positions:
As1 0.5000 0.2389 0.2333  2 Zr 2.81, 1 Er 2.85, 3 Sm 2.92-2.97
As2 0.0000 0.7518 0.2368  1 Zr 2.80, 2 Er 2.86, 3 Sm 2.92-2.97
As3 0.0000 0.2482 0.7632  1 Zr 2.80, 2 Er 2.86, 3 Sm 2.92-2.97
As4 0.5000 0.7611 0.7667  2 Zr 2.81, 1 Er 2.85, 3 Sm 2.92-2.97
Sm1 0.5000 0.0000 0.5000  6 As 2.92
Sm2 0.0000 0.5000 0.5000  6 As 2.97
Zr1 0.0000 0.0000 0.0000  6 As 2.80-2.81
Er1 0.5000 0.5000 0.0000  6 As 2.85-2.86


The following is a DFT calculation (GGA-PBE) of an optimized crystal structure of CuOF3.

Calculated values
ΔE_f (raw), meV per atom: -892.4
Final energy, eV/atom: -3.83
Polymorph energy (0 for the lowest one), meV/atom: 0

Lattice parameters (Å, degrees): 5.5435 5.0925 9.4213 78.43 90.00 90.00
Closest atoms and distances in Å follow each position.
Fractional positions:
Cu1 0.7543 0.4057 0.5912  4 F 1.92-1.96
Cu2 0.2457 0.5943 0.4088  4 F 1.92-1.96
Cu3 0.7543 0.0943 0.9088  4 F 1.92-1.96
Cu4 0.2457 0.9057 0.0912  4 F 1.92-1.96
O1 0.2575 0.1468 0.7298  1 O 1.19
O2 0.7425 0.8532 0.2702  1 O 1.19
O3 0.2575 0.3532 0.7702  1 O 1.19
O4 0.7425 0.6468 0.2298  1 O 1.19
F1 0.9095 0.7271 0.4905  1 Cu 1.92
F2 0.0905 0.2729 0.5095  1 Cu 1.92
F3 0.4075 0.8588 0.9180  1 Cu 1.92
F4 0.0905 0.2271 0.9905  1 Cu 1.92
F5 0.9095 0.7729 0.0095  1 Cu 1.92
F6 0.4075 0.6412 0.5820  1 Cu 1.92
F7 0.7526 0.0412 0.7084  2 Cu 1.96
F8 0.5925 0.1412 0.0820  1 Cu 1.92
F9 0.7526 0.4588 0.7916  2 Cu 1.96
F10 0.2474 0.9588 0.2916  2 Cu 1.96
F11 0.2474 0.5412 0.2084  2 Cu 1.96
F12 0.5925 0.3588 0.4180  1 Cu 1.92


The following is a DFT calculation (GGA-PBE) of an optimized crystal structure of BeCrNi.

Calculated values
Final energy, eV/atom: -6.41
E_form, eV per atom: -0.028
Polymorph energy (0 for the lowest one), meV/atom: 134

Lattice parameters (Å, degrees): 3.8392 3.8392 2.3834 90.00 90.00 120.00
Closest atoms and distances in Å follow each position.
Fractional positions:
Ni1 0.3333 0.6667 0.8315  3 Be 2.22, 2 Ni 2.38
Cr1 0.6667 0.3333 0.3331  2 Cr 2.38, 6 Be 2.51-2.52, 6 Ni 2.51-2.52
Be1 0.0000 0.0000 0.8354  3 Ni 2.22, 2 Be 2.38


The following is a DFT calculation (GGA-PBE) of an optimized crystal structure of Zn5Pd2.

Calculated values
Final energy, eV/atom: -2.75
E_form, eV per atom: -0.352

Lattice parameters (Å, degrees): 4.7671 6.5916 7.0072 93.73 90.00 111.20
Closest atoms and distances in Å follow each position.
Fractional positions:
Pd1 0.4033 0.1599 0.1057  10 Zn 2.63-2.84, 2 Pd 2.91-2.92
Pd2 0.5967 0.8401 0.8943  10 Zn 2.63-2.84, 2 Pd 2.91-2.92
Pd3 0.2434 0.8401 0.3943  10 Zn 2.63-2.84, 2 Pd 2.91-2.92
Pd4 0.7566 0.1599 0.6057  10 Zn 2.63-2.84, 2 Pd 2.91-2.92
Zn1 0.9624 0.2693 0.9607  4 Pd 2.63-2.74, 8 Zn 2.69-2.95
Zn2 0.5645 0.4312 0.8237  3 Pd 2.66-2.68, 9 Zn 2.69-2.87
Zn3 0.6931 0.7307 0.5393  4 Pd 2.63-2.74, 8 Zn 2.69-2.95
Zn4 0.8131 0.0000 0.2500  6 Pd 2.69-2.84, 6 Zn 2.71-2.77
Zn5 0.0376 0.7307 0.0393  4 Pd 2.63-2.74, 8 Zn 2.69-2.95
Zn6 0.3069 0.2693 0.4607  4 Pd 2.63-2.74, 8 Zn 2.69-2.95
Zn7 0.1333 0.5688 0.6763  3 Pd 2.66-2.68, 9 Zn 2.69-2.87
Zn8 0.8667 0.4312 0.3237  3 Pd 2.66-2.68, 9 Zn 2.69-2.87
Zn9 0.4355 0.5688 0.1763  3 Pd 2.66-2.68, 9 Zn 2.69-2.87
Zn10 0.1869 0.0000 0.7500  6 Pd 2.69-2.84, 6 Zn 2.71-2.77


The following is a DFT calculation (GGA-PBE) of an optimized crystal structure of K4Np3SnTe8.

Calculated values
ΔE_f (raw), meV per atom: -836.6
Final energy, eV/atom: -5.36

Lattice parameters (Å, degrees): 9.2094 9.7070 9.2100 118.32 120.00 90.00
Closest atoms and distances in Å follow each position.
Fractional positions:
Te1 0.2728 0.2931 0.0329  2 Np 3.12, 1 Sn 3.20
Te2 0.2399 0.7074 0.4798  2 Np 3.12, 1 Sn 3.20
Te3 0.7601 0.2931 0.0329  2 Np 3.12, 1 Sn 3.20
Te4 0.2637 0.2914 0.5275  3 Np 3.15
Te5 0.7601 0.2926 0.5202  2 Np 3.12, 1 Sn 3.20
Te6 0.7272 0.7069 0.9671  2 Np 3.12, 1 Sn 3.20
Te7 0.2399 0.7069 0.9671  2 Np 3.12, 1 Sn 3.20
Te8 0.7363 0.7086 0.4725  3 Np 3.15
Np1 0.0000 0.5000 0.5000  6 Te 3.12-3.15
Np2 0.5000 0.5000 0.5000  6 Te 3.12-3.15
Np3 0.5000 0.5000 0.0000  6 Te 3.12-3.15
K1 0.0000 0.0000 0.0000  6 Te 3.56-3.59
K2 0.0000 0.0000 0.5000  6 Te 3.56-3.59
K3 0.5000 0.0000 0.0000  6 Te 3.52
K4 0.5000 0.0000 0.5000  6 Te 3.56-3.59
Sn1 0.0000 0.5000 0.0000  6 Te 3.20


The following is a DFT calculation (GGA-PBE) of an optimized crystal structure of DyPaPbAu.

Calculated values
Final energy, eV/atom: -5.47
E_form, eV per atom: -0.202

Lattice parameters (Å, degrees): 5.2882 5.2882 5.2882 60.00 60.00 60.00
Closest atoms and distances in Å follow each position.
Fractional positions:
Au1 0.5000 0.5000 0.5000  4 Dy 3.24, 4 Pa 3.24
Pb1 0.0000 0.0000 0.0000  4 Dy 3.24, 4 Pa 3.24
Dy1 0.7500 0.7500 0.7500  4 Au 3.24, 4 Pb 3.24
Pa1 0.2500 0.2500 0.2500  4 Au 3.24, 4 Pb 3.24


The following is a DFT calculation (GGA-PBE) of an optimized crystal structure of Pm8Pr3Sm2.

Calculated values
Final energy, eV/atom: -4.53
E_form, eV per atom: 0.219
Polymorph energy (0 for the lowest one), meV/atom: 69

Lattice parameters (Å, degrees): 5.8038 7.7659 11.0553 110.56 90.07 90.00
Closest atoms and distances in Å follow each position.
Fractional positions:
Sm1 0.5025 0.7581 0.5161  8 Pm 3.40-3.66
Sm2 0.4975 0.2419 0.4839  8 Pm 3.40-3.66
Pr1 0.0000 0.2895 0.0000  1 Pr 3.27, 6 Pm 3.59-3.65
Pr2 0.5000 0.0000 0.0000  4 Pm 3.17
Pr3 0.0000 0.7105 0.0000  1 Pr 3.27, 6 Pm 3.59-3.65
Pm1 0.5004 0.8154 0.2143  1 Pr 3.17, 1 Pm 3.24, 1 Sm 3.52
Pm2 0.5004 0.3989 0.2143  1 Pr 3.17, 1 Pm 3.24, 1 Sm 3.52
Pm3 0.0010 0.8647 0.7295  2 Pr 3.59, 2 Sm 3.64-3.66, 7 Pm 3.72-3.98
Pm4 0.9990 0.1353 0.2705  2 Pr 3.59, 2 Sm 3.64-3.66, 7 Pm 3.72-3.98
Pm5 0.4996 0.1846 0.7857  1 Pr 3.17, 1 Pm 3.24, 1 Sm 3.52
Pm6 0.0019 0.6726 0.3452  2 Sm 3.40, 4 Pm 3.58-3.59
Pm7 0.9981 0.3274 0.6548  2 Sm 3.40, 4 Pm 3.58-3.59
Pm8 0.4996 0.6011 0.7857  1 Pr 3.17, 1 Pm 3.24, 1 Sm 3.52